(1)
This record from Alexandria describes crystalline HoCoSn at its relaxed geometry. The functional is GGA-PBE.

Cell lengths 3.2592, 3.2592, 11.1790 Å; angles 90.00, 90.00, 90.00 degrees
Last column: nearest neighbours and their distance in Å.
Space group I4mm (No. 107)
Symmetry-distinct sites (fractional):
Ho (0.0000, 0.0000, 0.0000)  4 Co 2.91, 1 Sn 3.20, 4 Ho 3.26
Co (0.0000, 0.0000, 0.3409)  4 Sn 2.71, 4 Ho 2.91
Sn (0.0000, 0.0000, 0.7137)  4 Co 2.71

Computed properties:
E_form	-255	meV/atom

***

(2)
This record from Alexandria describes crystalline PrMgIn4 at its relaxed geometry. The functional is GGA-PBE.

Cell lengths 8.6323, 8.6323, 8.6323 Å; angles 90.00, 90.00, 90.00 degrees
Last column: nearest neighbours and their distance in Å.
Space group F-43m (No. 216)
Symmetry-distinct sites (fractional):
Pr (0.0000, 0.0000, 0.0000)  12 In 3.58, 4 Mg 3.74
Mg (0.2500, 0.2500, 0.2500)  12 In 3.58, 4 Pr 3.74
In (0.1251, 0.1251, 0.6251)  6 In 3.05

Computed properties:
energy relative to the lowest polymorph listed for this composition	0	meV/atom
E_form	-136	meV/atom

***

(3)
This record from Alexandria describes crystalline InFe2Se at its relaxed geometry. The functional is GGA-PBE.

Cell lengths 2.9773, 4.1127, 6.2539 Å; angles 90.00, 90.00, 90.00 degrees
Last column: nearest neighbours and their distance in Å.
Space group Pmmm (No. 47)
Symmetry-distinct sites (fractional):
In (0.0000, 0.0000, 0.0000)  8 Fe 2.81, 2 In 2.98
Fe (0.5000, 0.5000, 0.1922)  1 Fe 2.40, 2 Se 2.43
Se (0.0000, 0.5000, 0.5000)  4 Fe 2.43

Computed properties:
energy relative to the lowest polymorph listed for this composition	165	meV/atom
ΔE_f (raw)	237	meV per atom

***

(4)
This record from Alexandria describes crystalline Tb5Ag2Pb at its relaxed geometry. The functional is GGA-PBE.

Cell lengths 8.1355, 8.1355, 13.3971 Å; angles 90.00, 90.00, 90.00 degrees
Last column: nearest neighbours and their distance in Å.
Space group I4/mcm (No. 140)
Symmetry-distinct sites (fractional):
Tb (0.0000, 0.0000, 0.0000)  4 Ag 3.17, 2 Pb 3.35
Tb (0.1547, 0.3453, 0.1479)  3 Ag 3.07-3.14, 2 Pb 3.37
Ag (0.1333, 0.3667, 0.5000)  1 Ag 3.07, 8 Tb 3.07-3.17
Pb (0.0000, 0.0000, 0.2500)  10 Tb 3.35-3.37

Computed properties:
E_form	-295	meV/atom

***

What did the second record say?
This record from Alexandria describes crystalline PrMgIn4 at its relaxed geometry. The functional is GGA-PBE.

Cell lengths 8.6323, 8.6323, 8.6323 Å; angles 90.00, 90.00, 90.00 degrees
Last column: nearest neighbours and their distance in Å.
Space group F-43m (No. 216)
Symmetry-distinct sites (fractional):
Pr (0.0000, 0.0000, 0.0000)  12 In 3.58, 4 Mg 3.74
Mg (0.2500, 0.2500, 0.2500)  12 In 3.58, 4 Pr 3.74
In (0.1251, 0.1251, 0.6251)  6 In 3.05

Computed properties:
energy relative to the lowest polymorph listed for this composition	0	meV/atom
E_form	-136	meV/atom

***

What is the formula in the first record? HoCoSn

***

Copy entry 1 word for word.
This record from Alexandria describes crystalline HoCoSn at its relaxed geometry. The functional is GGA-PBE.

Cell lengths 3.2592, 3.2592, 11.1790 Å; angles 90.00, 90.00, 90.00 degrees
Last column: nearest neighbours and their distance in Å.
Space group I4mm (No. 107)
Symmetry-distinct sites (fractional):
Ho (0.0000, 0.0000, 0.0000)  4 Co 2.91, 1 Sn 3.20, 4 Ho 3.26
Co (0.0000, 0.0000, 0.3409)  4 Sn 2.71, 4 Ho 2.91
Sn (0.0000, 0.0000, 0.7137)  4 Co 2.71

Computed properties:
E_form	-255	meV/atom